## MgHgRu2 (PBE)

Data for a relaxed MgHgRu2 crystal.

Output
relative energy among the computed polymorphs: 332 meV/atom
spin magnetization: 0.332 μB per atom
calculated density: 10.7 Mg/m³
DOS(E_F): 3.11 states/eV/cell

abc: 9.3688 9.3688 9.3688
angles: 17.68 17.68 17.68
Last column: nearest neighbours and their distance in Å.
Fractional coordinates of all 4 atoms:
1 Ru 0.4972 0.4972 0.4972  3 Mg 2.78, 6 Ru 2.88, 3 Hg 2.91
2 Ru 0.0028 0.0028 0.0028  3 Mg 2.78, 6 Ru 2.88, 3 Hg 2.91
3 Hg 0.2500 0.2500 0.2500  6 Hg 2.88, 6 Ru 2.91
4 Mg 0.7500 0.7500 0.7500  6 Ru 2.78, 6 Mg 2.88